Density functional theory data (PBE+U) for a geometry-optimized ErCrTe2O8 structure.

uncorrected energy: -75.3 eV/cell
symmetry: No. 164

Cell lengths 6.070, 6.070, 6.014 Å; angles 90.00, 90.00, 120.00 degrees
Last column: magnetic moment on the atom in μB.
Element x y z (fractional)
O1 0.853 0.147 0.229  -0.01
O2 0.147 0.293 0.771  -0.01
O3 0.293 0.147 0.229  -0.01
O4 0.667 0.333 0.866  0.01
O5 0.333 0.667 0.134  0.01
O6 0.853 0.707 0.229  -0.01
O7 0.147 0.853 0.771  -0.01
O8 0.707 0.853 0.771  -0.01
Te1 0.667 0.333 0.167  0.03
Te2 0.333 0.667 0.833  0.03
Er1 0.000 0.000 0.500  0.01
Cr1 0.000 0.000 0.000  3.09